Entry 1:
A relaxed structure of Al3Bi5Cl12. Source: Alexandria via LeMat-Bulk, functional PBEsol.

## Properties
SG: No. 167
magnetic moment: 0.00 μB/f.u.
uncorrected formation energy: -1.07 eV per atom
calculated total energy: -3.96 eV per atom

Unit cell a=11.675 b=11.675 c=12.043 alpha=61.00 beta=61.00 gamma=60.00
Fractional positions:
Al: 0.224 0.276 0.750
Al: 0.776 0.724 0.250
Al: 0.724 0.250 0.250
Al: 0.276 0.750 0.750
Al: 0.250 0.776 0.250
Al: 0.750 0.224 0.750
Bi: 0.911 0.750 0.750
Bi: 0.671 0.671 0.988
Bi: 0.171 0.171 0.488
Bi: 0.411 0.089 0.250
Bi: 0.329 0.329 0.012
Bi: 0.089 0.250 0.250
Bi: 0.829 0.829 0.512
Bi: 0.589 0.911 0.750
Bi: 0.750 0.589 0.750
Bi: 0.250 0.411 0.250
Cl: 0.072 0.964 0.271
Cl: 0.110 0.694 0.926
Cl: 0.464 0.572 0.771
Cl: 0.694 0.270 0.926
Cl: 0.693 0.072 0.271
Cl: 0.307 0.928 0.729
Cl: 0.730 0.890 0.074
Cl: 0.890 0.306 0.074
Cl: 0.572 0.193 0.771
Cl: 0.194 0.610 0.426
Cl: 0.964 0.693 0.271
Cl: 0.036 0.307 0.729
Cl: 0.270 0.110 0.926
Cl: 0.536 0.428 0.229
Cl: 0.807 0.536 0.229
Cl: 0.306 0.730 0.074
Cl: 0.770 0.194 0.426
Cl: 0.390 0.230 0.574
Cl: 0.230 0.806 0.574
Cl: 0.928 0.036 0.729
Cl: 0.806 0.390 0.574
Cl: 0.193 0.464 0.771
Cl: 0.610 0.770 0.426
Cl: 0.428 0.807 0.229

=====

Entry 2:
A relaxed structure of YInRh2. Source: Alexandria via LeMat-Bulk, functional PBEsol.

## Properties
SG: No. 123
magnetic moment: 0.00 μB/f.u.
calculated formation energy: -0.74 eV/atom
calculated total energy: -7.26 eV per atom

Unit cell a=3.510 b=4.449 c=4.449 alpha=90.00 beta=90.00 gamma=90.00
Fractional positions:
Y: 0.500 0.500 0.500
Rh: 0.000 0.000 0.500
Rh: 0.000 0.500 0.000
In: 0.500 0.000 0.000

=====

Entry 3:
A relaxed structure of TcOsRh2. Source: Alexandria via LeMat-Bulk, functional PBEsol.

## Properties
polymorph energy (0 for the lowest one): 0.000 eV per atom
SG: No. 25
magnetic moment: 0.00 μB/f.u.
calculated formation energy: -0.09 eV/atom
calculated total energy: -10.03 eV per atom

Unit cell a=2.683 b=4.295 c=4.721 alpha=90.00 beta=90.00 gamma=90.00
Fractional positions:
Rh: 0.000 0.000 0.038
Rh: 0.000 0.500 0.712
Os: 0.500 0.500 0.213
Tc: 0.500 0.000 0.537

=====

Entry 4:
A relaxed structure of SrAsO2. Source: Alexandria via LeMat-Bulk, functional PBEsol.

## Properties
SG: No. 122
magnetic moment: 0.00 μB/f.u.
uncorrected formation energy: -1.34 eV per atom
calculated total energy: -5.70 eV per atom

Unit cell a=4.875 b=4.875 c=6.931 alpha=110.59 beta=110.59 gamma=90.00
Fractional positions:
Sr: 0.250 0.750 0.500
Sr: 0.000 0.000 0.000
As: 0.750 0.250 0.500
As: 0.500 0.500 0.000
O: 0.429 0.875 0.250
O: 0.821 0.375 0.250
O: 0.125 0.179 0.750
O: 0.625 0.571 0.750

=====

Entry 5:
A relaxed structure of Al2Cu8Si. Source: Alexandria via LeMat-Bulk, functional PBEsol.

## Properties
SG: No. 123
magnetic moment: 0.00 μB/f.u.
uncorrected formation energy: -0.11 eV per atom
calculated total energy: -4.53 eV per atom

Unit cell a=3.705 b=3.705 c=9.914 alpha=90.00 beta=90.00 gamma=90.00
Fractional positions:
Si: 0.000 0.000 0.000
Al: 0.000 0.000 0.321
Al: 0.000 0.000 0.679
Cu: 0.000 0.500 0.500
Cu: 0.500 0.000 0.500
Cu: 0.500 0.500 0.324
Cu: 0.500 0.500 0.676
Cu: 0.000 0.500 0.144
Cu: 0.500 0.000 0.144
Cu: 0.000 0.500 0.856
Cu: 0.500 0.000 0.856

=====

Entry 6:
A relaxed structure of Cd2GeO4. Source: Alexandria via LeMat-Bulk, functional PBEsol.

## Properties
SG: No. 62
magnetic moment: 0.00 μB/f.u.
uncorrected formation energy: -1.37 eV per atom
calculated total energy: -5.42 eV per atom

Unit cell a=5.222 b=6.579 c=11.215 alpha=90.00 beta=90.00 gamma=90.00
Fractional positions:
Cd: 0.510 0.250 0.780
Cd: 0.010 0.750 0.720
Cd: 0.490 0.750 0.220
Cd: 0.990 0.250 0.280
Cd: 0.500 0.500 0.500
Cd: 0.000 0.500 0.000
Cd: 0.500 0.000 0.500
Cd: 0.000 0.000 0.000
Ge: 0.066 0.250 0.598
Ge: 0.566 0.750 0.902
Ge: 0.934 0.750 0.402
Ge: 0.434 0.250 0.098
O: 0.779 0.538 0.335
O: 0.279 0.462 0.165
O: 0.221 0.038 0.665
O: 0.721 0.962 0.835
O: 0.221 0.462 0.665
O: 0.721 0.538 0.835
O: 0.779 0.962 0.335
O: 0.279 0.038 0.165
O: 0.210 0.250 0.452
O: 0.710 0.750 0.048
O: 0.790 0.750 0.548
O: 0.290 0.250 0.952
O: 0.769 0.250 0.097
O: 0.269 0.750 0.403
O: 0.231 0.750 0.903
O: 0.731 0.250 0.597

=====

Entry 7:
A relaxed structure of CuRh2Cl. Source: Alexandria via LeMat-Bulk, functional PBEsol.

## Properties
polymorph energy (0 for the lowest one): 0.000 eV per atom
SG: No. 35
magnetic moment: 0.00 μB/f.u.
uncorrected formation energy: 0.35 eV per atom
calculated total energy: -5.30 eV per atom

Unit cell a=2.756 b=2.800 c=8.339 alpha=90.00 beta=90.00 gamma=119.48
Fractional positions:
Cl: 0.000 0.000 0.507
Cu: 0.500 0.000 0.742
Rh: 0.000 0.000 0.995
Rh: 0.500 0.000 0.255

=====

Entry 8:
A relaxed structure of Sc2InTc. Source: Alexandria via LeMat-Bulk, functional PBEsol.

## Properties
SG: No. 216
magnetic moment: 0.00 μB/f.u.
calculated formation energy: -0.12 eV/atom
calculated total energy: -6.98 eV per atom

Unit cell a=4.698 b=4.698 c=4.698 alpha=60.00 beta=60.00 gamma=60.00
Fractional positions:
In: 0.500 0.500 0.500
Sc: 0.000 0.000 0.000
Sc: 0.250 0.250 0.250
Tc: 0.750 0.750 0.750

=====

Entry 9:
A relaxed structure of KCaTa2. Source: Alexandria via LeMat-Bulk, functional PBEsol.

## Properties
polymorph energy (0 for the lowest one): 0.263 eV per atom
SG: No. 8
magnetic moment: 0.00 μB/f.u.
calculated formation energy: 0.90 eV/atom
calculated total energy: -6.19 eV per atom

Unit cell a=2.977 b=4.859 c=8.544 alpha=91.89 beta=90.00 gamma=107.84
Fractional positions:
Ca: 0.512 0.024 0.580
K: 0.746 0.491 0.205
Ta: 0.988 0.976 0.904
Ta: 0.254 0.509 0.811

=====

Entry 10:
A relaxed structure of Sr3SbN. Source: Alexandria via LeMat-Bulk, functional PBEsol.

## Properties
SG: No. 221
magnetic moment: 0.00 μB/f.u.
uncorrected formation energy: -1.00 eV per atom
calculated total energy: -4.72 eV per atom

Unit cell a=5.142 b=5.142 c=5.142 alpha=90.00 beta=90.00 gamma=90.00
Fractional positions:
Sb: 0.000 0.000 0.000
Sr: 0.500 0.500 0.000
Sr: 0.000 0.500 0.500
Sr: 0.500 0.000 0.500
N: 0.500 0.500 0.500

=====

Entry 11:
A relaxed structure of Li2CoPb. Source: Alexandria via LeMat-Bulk, functional PBEsol.

## Properties
SG: No. 10
magnetic moment: 0.98 μB/f.u.
calculated formation energy: 0.18 eV/atom
calculated total energy: -3.74 eV per atom

Unit cell a=3.060 b=4.565 c=4.688 alpha=90.00 beta=99.68 gamma=90.00
Site moments in Bohr magnetons follow the coordinates.
Fractional positions:
Co: 0.000 0.500 0.500  1.04
Li: 0.783 0.000 0.725  -0.01
Li: 0.217 0.000 0.275  -0.01
Pb: 0.500 0.500 0.000  0.00

=====

Entry 12:
A relaxed structure of BeCr3Hg. Source: Alexandria via LeMat-Bulk, functional PBEsol.

## Properties
SG: No. 221
magnetic moment: 13.05 μB/f.u.
calculated formation energy: 2.10 eV/atom
calculated total energy: -4.95 eV per atom

Unit cell a=4.990 b=4.990 c=4.990 alpha=90.00 beta=90.00 gamma=90.00
Site moments in Bohr magnetons follow the coordinates.
Fractional positions:
Cr: 0.000 0.500 0.000  3.82
Cr: 0.000 0.000 0.500  3.82
Cr: 0.500 0.000 0.000  3.82
Hg: 0.000 0.000 0.000  0.14
Be: 0.500 0.500 0.500  -0.04

=====

Entry 13:
A relaxed structure of K2TlHg. Source: Alexandria via LeMat-Bulk, functional PBEsol.

## Properties
polymorph energy (0 for the lowest one): 0.064 eV per atom
SG: No. 47
magnetic moment: 0.00 μB/f.u.
calculated formation energy: -0.05 eV/atom
calculated total energy: -1.42 eV per atom

Unit cell a=4.199 b=4.665 c=7.041 alpha=90.00 beta=90.00 gamma=90.00
Fractional positions:
K: 0.000 0.000 0.745
K: 0.000 0.000 0.255
Tl: 0.500 0.500 0.000
Hg: 0.500 0.500 0.500

=====

Entry 14:
A relaxed structure of NdMg16Al12. Source: Alexandria via LeMat-Bulk, functional PBEsol.

## Properties
polymorph energy (0 for the lowest one): 0.006 eV per atom
SG: No. 160
magnetic moment: 0.00 μB/f.u.
calculated formation energy: -0.06 eV/atom
calculated total energy: -2.88 eV per atom

Unit cell a=8.937 b=9.160 c=9.160 alpha=70.04 beta=71.02 gamma=108.98
Fractional positions:
Nd: 0.373 0.000 0.000
Mg: 0.998 0.344 0.000
Mg: 0.610 0.332 0.000
Mg: 0.998 0.000 0.000
Mg: 0.316 0.598 0.000
Mg: 0.687 0.687 0.707
Mg: 0.000 0.606 0.687
Mg: 0.610 0.000 0.668
Mg: 0.998 0.000 0.656
Mg: 0.394 0.707 0.606
Mg: 0.717 0.402 0.598
Mg: 0.316 0.000 0.402
Mg: 0.000 0.313 0.394
Mg: 0.654 0.656 0.344
Mg: 0.278 0.668 0.332
Mg: 0.687 0.293 0.313
Mg: 0.394 0.394 0.293
Al: 0.628 0.816 0.000
Al: 0.812 0.637 0.000
Al: 0.366 0.366 0.820
Al: 0.813 0.184 0.816
Al: 0.185 0.820 0.814
Al: 0.174 0.363 0.637
Al: 0.366 0.180 0.634
Al: 0.000 0.814 0.366
Al: 0.812 0.000 0.363
Al: 0.000 0.634 0.186
Al: 0.628 0.000 0.184
Al: 0.185 0.186 0.180

=====

Entry 15:
A relaxed structure of YSb4Pb. Source: Alexandria via LeMat-Bulk, functional PBEsol.

## Properties
SG: No. 216
magnetic moment: 0.00 μB/f.u.
uncorrected formation energy: -0.06 eV per atom
calculated total energy: -4.90 eV per atom

Unit cell a=6.176 b=6.176 c=6.176 alpha=60.00 beta=60.00 gamma=60.00
Fractional positions:
Pb: 0.000 0.000 0.000
Sb: 0.376 0.376 0.376
Sb: 0.376 0.376 0.873
Sb: 0.873 0.376 0.376
Sb: 0.376 0.873 0.376
Y: 0.750 0.750 0.750

=====

Entry 16:
A relaxed structure of CoSb2. Source: Alexandria via LeMat-Bulk, functional PBEsol.

## Properties
SG: No. 141
magnetic moment: 0.12 μB/f.u.
uncorrected formation energy: 0.04 eV per atom
calculated total energy: -5.58 eV per atom

Unit cell a=3.123 b=3.123 c=12.797 alpha=97.01 beta=97.01 gamma=90.00
Site moments in Bohr magnetons follow the coordinates.
Fractional positions:
Co: 0.250 0.750 0.500  0.13
Co: 0.000 0.000 0.000  0.13
Sb: 0.812 0.312 0.623  0.00
Sb: 0.438 0.438 0.877  0.00
Sb: 0.688 0.188 0.377  0.00
Sb: 0.562 0.562 0.123  0.00

=====

Entry 17:
A relaxed structure of AlV. Source: Alexandria via LeMat-Bulk, functional PBEsol.

## Properties
SG: No. 65
magnetic moment: 0.00 μB/f.u.
calculated formation energy: -0.21 eV/atom
calculated total energy: -7.07 eV per atom

Unit cell a=2.628 b=2.628 c=4.036 alpha=90.00 beta=90.00 gamma=96.95
Fractional positions:
Al: 0.500 0.500 0.500
V: 0.000 0.000 0.000

=====

Entry 18:
A relaxed structure of InOs3N. Source: Alexandria via LeMat-Bulk, functional PBEsol.

## Properties
SG: No. 221
magnetic moment: 7.87 μB/f.u.
uncorrected formation energy: 4.40 eV per atom
calculated total energy: -5.23 eV per atom

Unit cell a=4.871 b=4.871 c=4.871 alpha=90.00 beta=90.00 gamma=90.00
Site moments in Bohr magnetons follow the coordinates.
Fractional positions:
N: 0.500 0.500 0.500  1.46
Os: 0.000 0.500 0.000  1.80
Os: 0.000 0.000 0.500  1.80
Os: 0.500 0.000 0.000  1.80
In: 0.000 0.000 0.000  -0.03

=====

Entry 19:
A relaxed structure of TcHgTe2N. Source: Alexandria via LeMat-Bulk, functional PBEsol.

## Properties
SG: No. 123
magnetic moment: 0.00 μB/f.u.
uncorrected formation energy: 0.18 eV per atom
calculated total energy: -5.31 eV per atom

Unit cell a=3.664 b=5.392 c=5.392 alpha=90.00 beta=90.00 gamma=90.00
Fractional positions:
N: 0.500 0.000 0.000
Te: 0.000 0.000 0.500
Te: 0.000 0.500 0.000
Hg: 0.500 0.500 0.500
Tc: 0.000 0.000 0.000

=====

Entry 20:
A relaxed structure of As2IrCl. Source: Alexandria via LeMat-Bulk, functional PBEsol.

## Properties
polymorph energy (0 for the lowest one): 0.222 eV per atom
SG: No. 47
magnetic moment: 0.00 μB/f.u.
uncorrected formation energy: 0.00 eV per atom
calculated total energy: -5.51 eV per atom

Unit cell a=2.972 b=3.219 c=7.329 alpha=90.00 beta=90.00 gamma=90.00
Fractional positions:
As: 0.000 0.000 0.706
As: 0.000 0.000 0.294
Ir: 0.500 0.500 0.500
Cl: 0.500 0.500 0.000

=====

Entry 21:
A relaxed structure of PPdS2F. Source: Alexandria via LeMat-Bulk, functional PBEsol.

## Properties
SG: No. 123
magnetic moment: 0.00 μB/f.u.
uncorrected formation energy: 0.76 eV per atom
calculated total energy: -3.73 eV per atom

Unit cell a=3.624 b=4.712 c=4.712 alpha=90.00 beta=90.00 gamma=90.00
Fractional positions:
P: 0.500 0.000 0.000
S: 0.000 0.000 0.500
S: 0.000 0.500 0.000
Pd: 0.500 0.500 0.500
F: 0.000 0.000 0.000

=====

Entry 22:
A relaxed structure of LiMnPO4. Source: Alexandria via LeMat-Bulk, functional PBEsol.

## Properties
polymorph energy (0 for the lowest one): 0.001 eV per atom
SG: No. 63
magnetic moment: 5.00 μB/f.u.
uncorrected formation energy: -2.07 eV per atom
calculated total energy: -7.57 eV per atom

Unit cell a=5.563 b=6.229 c=8.334 alpha=90.00 beta=90.00 gamma=90.00
Site moments in Bohr magnetons follow the coordinates.
Fractional positions:
Li: 0.750 0.250 0.583  0.00
Li: 0.250 0.250 0.083  0.00
Li: 0.750 0.750 0.917  0.00
Li: 0.250 0.750 0.417  0.00
Mn: 0.250 0.500 0.750  4.50
Mn: 0.750 0.000 0.250  4.50
Mn: 0.250 0.000 0.750  4.50
Mn: 0.750 0.500 0.250  4.50
P: 0.750 0.250 0.897  0.03
P: 0.250 0.250 0.397  0.03
P: 0.750 0.750 0.603  0.03
P: 0.250 0.750 0.103  0.03
O: 0.750 0.454 0.001  0.03
O: 0.250 0.454 0.501  0.03
O: 0.026 0.250 0.282  0.06
O: 0.474 0.250 0.282  0.06
O: 0.974 0.250 0.782  0.06
O: 0.526 0.250 0.782  0.06
O: 0.750 0.046 0.001  0.03
O: 0.250 0.046 0.501  0.03
O: 0.750 0.954 0.499  0.03
O: 0.250 0.954 0.999  0.03
O: 0.474 0.750 0.218  0.06
O: 0.026 0.750 0.218  0.06
O: 0.974 0.750 0.718  0.06
O: 0.526 0.750 0.718  0.06
O: 0.750 0.546 0.499  0.03
O: 0.250 0.546 0.999  0.03

=====

Entry 23:
A relaxed structure of As2PbAu. Source: Alexandria via LeMat-Bulk, functional PBEsol.

## Properties
SG: No. 65
magnetic moment: 0.00 μB/f.u.
calculated formation energy: 0.31 eV/atom
calculated total energy: -4.22 eV per atom

Unit cell a=3.051 b=5.247 c=5.247 alpha=90.10 beta=90.00 gamma=90.00
Fractional positions:
Pb: 0.500 0.500 0.500
As: 0.000 0.500 0.000
As: 0.000 0.000 0.500
Au: 0.500 0.000 0.000